A geometry-optimized Tl4CuAg structure. Source: Alexandria, functional GGA-PBE.

Calculated values
Calculated volume, Å³/f.u.: 176.2
Electronic total energy, eV per atom: -2.196
DFT formation energy, eV per atom: 0.5391
Symmetry: F-43m

a = 6.293 Å, b = 6.293 Å, c = 6.293 Å
α = 60.00°, β = 60.00°, γ = 60.00°
Atoms (fractional coordinates):
Tl 0.125 0.125 0.125
Tl 0.125 0.125 0.625
Tl 0.125 0.625 0.125
Tl 0.625 0.125 0.125
Cu 0.500 0.500 0.500
Ag 0.750 0.750 0.750

---

A geometry-optimized TlCu2Ag2 structure. Source: Alexandria, functional GGA-PBE.

Calculated values
Calculated volume, Å³/f.u.: 90.4
Electronic total energy, eV per atom: -2.984
ΔE to the lowest computed polymorph, eV per atom: 0.081
DFT formation energy, eV per atom: 0.2679
Symmetry: I4/mmm

a = 3.867 Å, b = 3.867 Å, c = 12.092 Å
α = 90.00°, β = 90.00°, γ = 90.00°
Atoms (fractional coordinates):
Tl 0.000 0.000 0.000
Tl 0.500 0.500 0.500
Cu 0.000 0.000 0.402
Cu 0.000 0.000 0.598
Cu 0.500 0.500 0.098
Cu 0.500 0.500 0.902
Ag 0.000 0.500 0.250
Ag 0.000 0.500 0.750
Ag 0.500 0.000 0.250
Ag 0.500 0.000 0.750

---

A geometry-optimized TlCu2Ag2 structure. Source: Alexandria, functional GGA-PBE.

Calculated values
Calculated volume, Å³/f.u.: 94.6
Electronic total energy, eV per atom: -2.997
ΔE to the lowest computed polymorph, eV per atom: 0.068
DFT formation energy, eV per atom: 0.2553
Symmetry: I4/mmm

a = 3.585 Å, b = 3.585 Å, c = 14.723 Å
α = 90.00°, β = 90.00°, γ = 90.00°
Atoms (fractional coordinates):
Tl 0.000 0.000 0.000
Tl 0.500 0.500 0.500
Cu 0.000 0.500 0.250
Cu 0.000 0.500 0.750
Cu 0.500 0.000 0.250
Cu 0.500 0.000 0.750
Ag 0.000 0.000 0.386
Ag 0.000 0.000 0.614
Ag 0.500 0.500 0.114
Ag 0.500 0.500 0.886

---

A geometry-optimized TlCuAg structure. Source: Alexandria, functional GGA-PBE.

Calculated values
Calculated volume, Å³/f.u.: 63.1
Electronic total energy, eV per atom: -2.848
ΔE to the lowest computed polymorph, eV per atom: 0.062
DFT formation energy, eV per atom: 0.2565
Symmetry: F-43m

a = 6.320 Å, b = 6.320 Å, c = 6.320 Å
α = 90.00°, β = 90.00°, γ = 90.00°
Atoms (fractional coordinates):
Tl 0.000 0.000 0.000
Tl 0.000 0.500 0.500
Tl 0.500 0.000 0.500
Tl 0.500 0.500 0.000
Cu 0.250 0.250 0.750
Cu 0.250 0.750 0.250
Cu 0.750 0.250 0.250
Cu 0.750 0.750 0.750
Ag 0.000 0.000 0.500
Ag 0.000 0.500 0.000
Ag 0.500 0.000 0.000
Ag 0.500 0.500 0.500

---

A geometry-optimized TlCuAg2 structure. Source: Alexandria, functional GGA-PBE.

Calculated values
Calculated volume, Å³/f.u.: 74.8
Electronic total energy, eV per atom: -2.845
DFT formation energy, eV per atom: 0.1959
Symmetry: Cm

a = 10.242 Å, b = 3.142 Å, c = 4.971 Å
α = 90.00°, β = 110.68°, γ = 90.00°
Atoms (fractional coordinates):
Tl 0.000 0.000 0.000
Tl 0.500 0.500 0.000
Cu 0.255 0.000 0.849
Cu 0.755 0.500 0.849
Ag 0.040 0.500 0.528
Ag 0.280 0.500 0.356
Ag 0.540 0.000 0.528
Ag 0.780 0.000 0.356

---

A geometry-optimized TlCuAg2 structure. Source: Alexandria, functional GGA-PBE.

Calculated values
Calculated volume, Å³/f.u.: 74.7
Electronic total energy, eV per atom: -2.877
DFT formation energy, eV per atom: 0.1644
Symmetry: C2/m

a = 10.832 Å, b = 3.164 Å, c = 4.715 Å
α = 90.00°, β = 112.41°, γ = 90.00°
Atoms (fractional coordinates):
Tl 0.000 0.000 0.000
Tl 0.500 0.500 0.000
Cu 0.000 0.500 0.500
Cu 0.500 0.000 0.500
Ag 0.222 0.000 0.723
Ag 0.278 0.500 0.277
Ag 0.722 0.500 0.723
Ag 0.778 0.000 0.277

---

A geometry-optimized TlCuAg2 structure. Source: Alexandria, functional GGA-PBE.

Calculated values
Calculated volume, Å³/f.u.: 79.3
Electronic total energy, eV per atom: -2.771
DFT formation energy, eV per atom: 0.2704
Symmetry: R-3m

a = 3.148 Å, b = 3.148 Å, c = 27.733 Å
α = 90.00°, β = 90.00°, γ = 120.00°
Atoms (fractional coordinates):
Tl 0.000 0.000 0.000
Tl 0.333 0.667 0.667
Tl 0.667 0.333 0.333
Cu 0.000 0.000 0.500
Cu 0.333 0.667 0.167
Cu 0.667 0.333 0.833
Ag 0.000 0.000 0.238
Ag 0.000 0.000 0.762
Ag 0.333 0.667 0.429
Ag 0.333 0.667 0.904
Ag 0.667 0.333 0.096
Ag 0.667 0.333 0.571

---

A geometry-optimized Tl2CuAg2 structure. Source: Alexandria, functional GGA-PBE.

Calculated values
Calculated volume, Å³/f.u.: 113.5
Electronic total energy, eV per atom: -2.562
ΔE to the lowest computed polymorph, eV per atom: 0.088
DFT formation energy, eV per atom: 0.3439
Symmetry: P4/mbm

a = 7.369 Å, b = 7.369 Å, c = 4.179 Å
α = 90.00°, β = 90.00°, γ = 90.00°
Atoms (fractional coordinates):
Tl 0.167 0.333 0.000
Tl 0.333 0.833 0.000
Tl 0.667 0.167 0.000
Tl 0.833 0.667 0.000
Cu 0.000 0.000 0.000
Cu 0.500 0.500 0.000
Ag 0.137 0.637 0.500
Ag 0.363 0.137 0.500
Ag 0.637 0.863 0.500
Ag 0.863 0.363 0.500